# Ac4Zn3Pd5 | the Alexandria database | GGA-PBE | optimized geometry
data_Ac4Zn3Pd5
_cell_length_a 14.694
_cell_length_b 4.694
_cell_length_c 10.889
_cell_angle_alpha 90.00
_cell_angle_beta 121.14
_cell_angle_gamma 90.00
_symmetry_space_group_name_H-M 'C 1 2/m 1'
_symmetry_Int_Tables_number 12
loop_
_symmetry_equiv_pos_as_xyz
'x,y,z'
'-x,-y,-z'
'-x,y,-z'
'x,-y,z'
'x+1/2,y+1/2,z'
'-x+1/2,-y+1/2,-z'
'-x+1/2,y+1/2,-z'
'x+1/2,-y+1/2,z'
loop_
_atom_site_label
_atom_site_type_symbol
_atom_site_fract_x
_atom_site_fract_y
_atom_site_fract_z
Ac1 Ac 0.044 0.000 0.338
Ac2 Ac 0.237 0.500 0.236
Zn1 Zn 0.000 0.000 0.000
Zn2 Zn 0.120 0.500 0.887
Pd1 Pd 0.000 0.500 0.000
Pd2 Pd 0.088 0.500 0.638
Pd3 Pd 0.211 0.500 0.520
# - E_tot: -52.9 eV per formula unit
# - Energy relative to the elements: -54.00 kJ/mol of atoms
# - Spin magnetization: 0.0 μB/f.u.